Arrangement a

Density functional theory data (GGA-PBE) for crystalline Cs4KAu4 at its relaxed geometry. Values from VASP.

Results
- mass density (g cm⁻³) = 5.373

Geometry as Quantum ESPRESSO input:
```
&SYSTEM
  ibrav = 0, nat = 18, ntyp = 3
/
ATOMIC_SPECIES
Cs 132.91 Cs.upf
K 39.10 K.upf
Au 196.97 Au.upf
ATOMIC_POSITIONS crystal
Cs 0.053 0.669 0.119
Cs 0.169 0.947 0.619
Cs 0.331 0.553 0.619
Cs 0.447 0.831 0.119
Cs 0.553 0.169 0.881
Cs 0.669 0.447 0.381
Cs 0.831 0.053 0.381
Cs 0.947 0.331 0.881
K 0.250 0.250 0.250
K 0.750 0.750 0.750
Au 0.007 0.618 0.601
Au 0.118 0.993 0.101
Au 0.382 0.507 0.101
Au 0.493 0.882 0.601
Au 0.507 0.118 0.399
Au 0.618 0.493 0.899
Au 0.882 0.007 0.899
Au 0.993 0.382 0.399
CELL_PARAMETERS angstrom
10.718 0.000 0.000
0.000 10.718 0.000
0.000 0.000 7.311
```

***

Arrangement b

Density functional theory data (GGA-PBE) for crystalline Cs4KAu4 at its relaxed geometry. Values from VASP.

Results
- mass density (g cm⁻³) = 5.016

Geometry as Quantum ESPRESSO input:
```
&SYSTEM
  ibrav = 0, nat = 9, ntyp = 3
/
ATOMIC_SPECIES
Cs 132.91 Cs.upf
K 39.10 K.upf
Au 196.97 Au.upf
ATOMIC_POSITIONS crystal
Cs 0.148 0.148 0.575
Cs 0.427 0.852 0.000
Cs 0.573 0.573 0.425
Cs 0.852 0.427 0.000
K 0.000 0.000 0.000
Au 0.116 0.638 0.000
Au 0.362 0.362 0.478
Au 0.638 0.116 0.000
Au 0.884 0.884 0.522
CELL_PARAMETERS angstrom
-3.840 3.840 7.624
3.840 -3.840 7.624
3.840 3.840 -7.624
```

***

Q: Which of them is the most stable? A: arrangement a.

***

Arrangement a

Density functional theory data (GGA-PBE) for crystalline Cs4K2Au at its relaxed geometry. Values from VASP.

Results
- mass density (g cm⁻³) = 2.124

Geometry as Quantum ESPRESSO input:
```
&SYSTEM
  ibrav = 0, nat = 7, ntyp = 3
/
ATOMIC_SPECIES
Cs 132.91 Cs.upf
K 39.10 K.upf
Au 196.97 Au.upf
ATOMIC_POSITIONS crystal
Cs 0.000 0.500 0.500
Cs 0.179 0.179 0.000
Cs 0.500 0.000 0.500
Cs 0.821 0.821 0.000
K 0.369 0.369 0.000
K 0.631 0.631 0.000
Au 0.500 0.500 0.000
CELL_PARAMETERS angstrom
-3.525 3.525 12.690
3.525 -3.525 12.690
3.525 3.525 -12.690
```

***

Arrangement b

Density functional theory data (GGA-PBE) for crystalline Cs4K2Au at its relaxed geometry. Values from VASP.

Results
- mass density (g cm⁻³) = 2.197

Geometry as Quantum ESPRESSO input:
```
&SYSTEM
  ibrav = 0, nat = 7, ntyp = 3
/
ATOMIC_SPECIES
Cs 132.91 Cs.upf
K 39.10 K.upf
Au 196.97 Au.upf
ATOMIC_POSITIONS crystal
Cs 0.000 0.500 0.500
Cs 0.154 0.154 0.000
Cs 0.500 0.000 0.500
Cs 0.846 0.846 0.000
K 0.348 0.348 0.000
K 0.652 0.652 0.000
Au 0.000 0.000 0.000
CELL_PARAMETERS angstrom
-3.571 3.571 11.951
3.571 -3.571 11.951
3.571 3.571 -11.951
```

***

Q: Which of them is the most stable? A: arrangement a.

***

Arrangement a

Density functional theory data (GGA-PBE) for crystalline Cs3K4Au4 at its relaxed geometry. Values from VASP.

Results
- mass density (g cm⁻³) = 4.593

Geometry as Quantum ESPRESSO input:
```
&SYSTEM
  ibrav = 0, nat = 11, ntyp = 3
/
ATOMIC_SPECIES
Cs 132.91 Cs.upf
K 39.10 K.upf
Au 196.97 Au.upf
ATOMIC_POSITIONS crystal
Cs 0.000 0.000 0.000
Cs 0.397 0.897 0.500
Cs 0.603 0.103 0.500
K 0.020 0.328 0.692
K 0.365 0.672 0.692
K 0.635 0.328 0.308
K 0.980 0.672 0.308
Au 0.243 0.243 0.000
Au 0.282 0.500 0.782
Au 0.718 0.500 0.218
Au 0.757 0.757 0.000
CELL_PARAMETERS angstrom
-2.448 5.187 9.560
2.448 -5.187 9.560
2.448 5.187 -9.560
```

***

Arrangement b

Density functional theory data (GGA-PBE) for crystalline Cs3K4Au4 at its relaxed geometry. Values from VASP.

Results
- mass density (g cm⁻³) = 4.111

Geometry as Quantum ESPRESSO input:
```
&SYSTEM
  ibrav = 0, nat = 11, ntyp = 3
/
ATOMIC_SPECIES
Cs 132.91 Cs.upf
K 39.10 K.upf
Au 196.97 Au.upf
ATOMIC_POSITIONS crystal
Cs 0.000 0.500 0.500
Cs 0.500 0.000 0.500
Cs 0.500 0.500 0.000
K 0.000 0.000 0.295
K 0.000 0.295 0.000
K 0.295 0.000 0.000
K 0.705 0.705 0.705
Au 0.000 0.000 0.654
Au 0.000 0.654 0.000
Au 0.346 0.346 0.346
Au 0.654 0.000 0.000
CELL_PARAMETERS angstrom
-5.138 5.138 5.138
5.138 -5.138 5.138
5.138 5.138 -5.138
```

***

Q: Which of them is the most stable? A: arrangement a.